Compound: Sr4CdRu
Source: Alexandria via LeMat-Bulk
Functional: GGA-PBE
Structure: relaxed

a b c (Å): 9.496 9.496 9.496
angles (deg): 90.00 90.00 90.00
Space group F-43m (No. 216)
Unique sites:
Sr  0.124  0.124  0.376 x16
Cd  0.000  0.000  0.000 x4
Ru  0.250  0.250  0.750 x4

Computed properties:
Volume   35.68 Å³ per atom
DOS(E_F)   46.276 states/eV/cell
Energy of formation   0.962 eV/atom